Crystalline LaPrYIn at its relaxed geometry. Source: the Alexandria database, functional GGA-PBE.

The calculation puts the density of states at the Fermi level at 30.9 states/eV per cell. For the formation energy, the calculation gives -0.121 eV per atom.

Cell lengths 7.895, 7.895, 7.895 Å; angles 90.00, 90.00, 90.00 degrees
Space group F-43m (No. 216)
One atom of each set of equivalent atoms:
La 0.000 0.000 0.000 (multiplicity 4)
Pr 0.250 0.250 0.250 (multiplicity 4)
Y 0.250 0.250 0.750 (multiplicity 4)
In 0.000 0.000 0.500 (multiplicity 4)

---

Crystalline MnSbPSe2 at its relaxed geometry. Source: the Alexandria database, functional GGA-PBE.

The calculation puts the density of states at the Fermi level at 5.2 states/eV per cell. The value obtained for the uncorrected formation energy is 256 kJ/mol of formula units.

Cell lengths 4.439, 4.439, 5.489 Å; angles 90.00, 90.00, 90.00 degrees
Space group P4/mmm (No. 123)
One atom of each set of equivalent atoms:
Mn 0.000 0.000 0.000 (multiplicity 1)
Sb 0.000 0.000 0.500 (multiplicity 1)
P 0.500 0.500 0.500 (multiplicity 1)
Se 0.000 0.500 0.000 (multiplicity 2)

---

Crystalline DyHoCd17 at its relaxed geometry. Source: the Alexandria database, functional GGA-PBE.

The calculation puts the density of states at the Fermi level at 17.3 states/eV per cell. For the formation energy, the calculation gives -0.097 eV per atom.

Cell lengths 10.0358, 10.0358, 15.0280 Å; angles 90.00, 90.00, 120.00 degrees
Space group R3m (No. 160, hexagonal axes)
One atom of each set of equivalent atoms:
Dy 0.0000 0.0000 0.0000 (multiplicity 3)
Ho 0.0000 0.0000 0.6500 (multiplicity 3)
Cd 0.0000 0.0000 0.2367 (multiplicity 3)
Cd 0.0000 0.0000 0.4287 (multiplicity 3)
Cd 0.0019 0.3079 0.3277 (multiplicity 18)
Cd 0.0279 0.5140 0.1823 (multiplicity 9)
Cd 0.0369 0.5184 0.8206 (multiplicity 9)
Cd 0.0725 0.5362 0.4820 (multiplicity 9)

---

Crystalline CePrTm2 at its relaxed geometry. Source: the Alexandria database, functional GGA-PBE.

The calculation puts the density of states at the Fermi level at 24.7 states/eV per cell. For the formation energy, the calculation gives 0.173 eV per atom.

Cell lengths 3.4395, 3.4395, 36.7318 Å; angles 90.00, 90.00, 120.00 degrees
Space group R-3m (No. 166, hexagonal axes)
One atom of each set of equivalent atoms:
Ce 0.0000 0.0000 0.0000 (multiplicity 3)
Pr 0.0000 0.0000 0.5000 (multiplicity 3)
Tm 0.0000 0.0000 0.4079 (multiplicity 6)

---

Crystalline YPbAu2 at its relaxed geometry. Source: the Alexandria database, functional GGA-PBE.

The calculation puts the density of states at the Fermi level at 4.6 states/eV per cell. For the formation energy, the calculation gives -0.447 eV per atom.

Cell lengths 4.0624, 4.0624, 22.1628 Å; angles 90.00, 90.00, 120.00 degrees
Space group R-3m (No. 166, hexagonal axes)
One atom of each set of equivalent atoms:
Y 0.0000 0.0000 0.0000 (multiplicity 3)
Pb 0.0000 0.0000 0.5000 (multiplicity 3)
Au 0.0000 0.0000 0.2523 (multiplicity 6)

---

Crystalline TlBiCl at its relaxed geometry. Source: the Alexandria database, functional GGA-PBE.

The value obtained for the uncorrected formation energy is -157 kJ/mol of formula units.

Cell lengths 4.551, 4.731, 9.757 Å; angles 89.41, 76.62, 89.97 degrees
Space group P1 (No. 1)
One atom of each set of equivalent atoms:
Tl 0.000 0.000 0.000 (multiplicity 1)
Tl 0.345 0.025 0.304 (multiplicity 1)
Bi 0.173 0.030 0.652 (multiplicity 1)
Bi 0.672 0.465 0.652 (multiplicity 1)
Cl 0.522 0.516 0.954 (multiplicity 1)
Cl 0.823 0.531 0.350 (multiplicity 1)

---

Crystalline CeSmCo2 at its relaxed geometry. Source: the Alexandria database, functional GGA-PBE.

The calculation puts the density of states at the Fermi level at 14.0 states/eV per cell. For the formation energy, the calculation gives -0.196 eV per atom.

Cell lengths 6.101, 6.145, 9.281 Å; angles 90.00, 111.71, 90.00 degrees
Space group P2/c (No. 13)
One atom of each set of equivalent atoms:
Ce 0.196 0.133 0.157 (multiplicity 4)
Sm 0.305 0.362 0.848 (multiplicity 4)
Co 0.106 0.333 0.522 (multiplicity 4)
Co 0.348 0.128 0.412 (multiplicity 4)

---

Crystalline SrLiSi2 at its relaxed geometry. Source: the Alexandria database, functional GGA-PBE.

The calculation puts the density of states at the Fermi level at 2.2 states/eV per cell. The value obtained for the uncorrected formation energy is 11 kJ/mol of formula units.

Cell lengths 3.459, 3.459, 7.372 Å; angles 90.00, 90.00, 90.00 degrees
Space group P4mm (No. 99)
One atom of each set of equivalent atoms:
Sr 0.000 0.000 0.000 (multiplicity 1)
Li 0.500 0.500 0.364 (multiplicity 1)
Si 0.000 0.000 0.571 (multiplicity 1)
Si 0.500 0.500 0.700 (multiplicity 1)

---

Crystalline TbPrSmDy2 at its relaxed geometry. Source: the Alexandria database, functional GGA-PBE.

The calculation puts the density of states at the Fermi level at 32.1 states/eV per cell. For the formation energy, the calculation gives 0.375 eV per atom.

Cell lengths 8.452, 11.606, 7.186 Å; angles 90.00, 90.00, 90.00 degrees
Space group Cmcm (No. 63)
One atom of each set of equivalent atoms:
Tb 0.000 0.224 0.250 (multiplicity 4)
Pr 0.000 0.230 0.750 (multiplicity 4)
Sm 0.000 0.499 0.750 (multiplicity 4)
Dy 0.188 0.000 0.000 (multiplicity 8)

---

Crystalline RbBe2HgCl at its relaxed geometry. Source: the Alexandria database, functional GGA-PBE.

The calculation puts the density of states at the Fermi level at 1.1 states/eV per cell. The value obtained for the uncorrected formation energy is 19 kJ/mol of formula units.

Cell lengths 4.584, 4.584, 6.875 Å; angles 90.00, 90.00, 90.00 degrees
Space group P4/mmm (No. 123)
One atom of each set of equivalent atoms:
Rb 0.000 0.000 0.000 (multiplicity 1)
Be 0.000 0.500 0.500 (multiplicity 2)
Hg 0.500 0.500 0.500 (multiplicity 1)
Cl 0.500 0.500 0.000 (multiplicity 1)

---

Crystalline Y2FeAg at its relaxed geometry. Source: the Alexandria database, functional GGA-PBE.

The calculation puts the density of states at the Fermi level at 4.8 states/eV per cell. For the formation energy, the calculation gives 0.132 eV per atom.

Cell lengths 3.469, 3.469, 7.768 Å; angles 90.00, 90.00, 90.00 degrees
Space group P4mm (No. 99)
One atom of each set of equivalent atoms:
Y 0.000 0.000 0.000 (multiplicity 1)
Y 0.500 0.500 0.362 (multiplicity 1)
Fe 0.500 0.500 0.776 (multiplicity 1)
Ag 0.000 0.000 0.607 (multiplicity 1)

---

Crystalline LaB2Os at its relaxed geometry. Source: the Alexandria database, functional GGA-PBE.

The calculation puts the density of states at the Fermi level at 10.3 states/eV per cell. For the formation energy, the calculation gives -0.260 eV per atom.

Cell lengths 4.651, 4.651, 13.176 Å; angles 90.00, 90.00, 90.00 degrees
Space group I4_1/amd (No. 141, origin choice 2)
One atom of each set of equivalent atoms:
La 0.000 0.250 0.375 (multiplicity 4)
B 0.000 0.000 0.000 (multiplicity 8)
Os 0.000 0.250 0.875 (multiplicity 4)

---

Crystalline Ce3Nd2Tl6 at its relaxed geometry. Source: the Alexandria database, functional GGA-PBE.

The calculation puts the density of states at the Fermi level at 56.2 states/eV per cell. For the formation energy, the calculation gives 0.137 eV per atom.

Cell lengths 6.069, 6.069, 22.486 Å; angles 90.00, 90.00, 90.00 degrees
Space group I4/mmm (No. 139)
One atom of each set of equivalent atoms:
Ce 0.000 0.000 0.000 (multiplicity 2)
Ce 0.000 0.000 0.136 (multiplicity 4)
Nd 0.000 0.000 0.423 (multiplicity 4)
Tl 0.000 0.000 0.281 (multiplicity 4)
Tl 0.000 0.500 0.070 (multiplicity 8)

---

Crystalline LiSm3Ag2 at its relaxed geometry. Source: the Alexandria database, functional GGA-PBE.

The calculation puts the density of states at the Fermi level at 9.7 states/eV per cell. For the formation energy, the calculation gives -0.155 eV per atom.

Cell lengths 5.219, 15.779, 3.757 Å; angles 90.00, 90.00, 90.00 degrees
Space group Cmmm (No. 65)
One atom of each set of equivalent atoms:
Li 0.000 0.000 0.000 (multiplicity 2)
Sm 0.000 0.171 0.500 (multiplicity 4)
Sm 0.000 0.500 0.500 (multiplicity 2)
Ag 0.000 0.342 0.000 (multiplicity 4)

---

Crystalline K2YCu at its relaxed geometry. Source: the Alexandria database, functional GGA-PBE.

The calculation puts the density of states at the Fermi level at 3.1 states/eV per cell. For the formation energy, the calculation gives 0.183 eV per atom.

Cell lengths 3.763, 3.763, 11.007 Å; angles 90.00, 90.00, 90.00 degrees
Space group P4mm (No. 99)
One atom of each set of equivalent atoms:
K 0.000 0.000 0.000 (multiplicity 1)
K 0.500 0.500 0.372 (multiplicity 1)
Y 0.000 0.000 0.672 (multiplicity 1)
Cu 0.500 0.500 0.778 (multiplicity 1)

---

Crystalline RbMgHI2 at its relaxed geometry. Source: the Alexandria database, functional GGA-PBE.

For the total energy, the calculation gives -13.3 eV/cell. The calculation puts the density of states at the Fermi level at 0.0 states/eV per cell.

Cell lengths 6.125, 6.125, 4.055 Å; angles 90.00, 90.00, 90.00 degrees
Space group P4/mmm (No. 123)
One atom of each set of equivalent atoms:
Rb 0.000 0.000 0.000 (multiplicity 1)
Mg 0.500 0.500 0.500 (multiplicity 1)
H 0.500 0.500 0.000 (multiplicity 1)
I 0.000 0.500 0.500 (multiplicity 2)

---

Crystalline Rb2MgSI6 at its relaxed geometry. Source: the Alexandria database, functional GGA-PBE.

The calculation puts the density of states at the Fermi level at 4.5 states/eV per cell. The value obtained for the uncorrected formation energy is -667 kJ/mol of formula units.

Cell lengths 8.457, 8.457, 11.584 Å; angles 90.00, 90.00, 90.00 degrees
Space group I4/mmm (No. 139)
One atom of each set of equivalent atoms:
Rb 0.000 0.500 0.250 (multiplicity 4)
Mg 0.000 0.000 0.000 (multiplicity 2)
S 0.000 0.000 0.500 (multiplicity 2)
I 0.000 0.000 0.269 (multiplicity 4)
I 0.240 0.240 0.000 (multiplicity 8)

---

Crystalline Pm2Nd2Er2In at its relaxed geometry. Source: the Alexandria database, functional GGA-PBE.

The calculation puts the density of states at the Fermi level at 19.4 states/eV per cell. For the formation energy, the calculation gives -0.030 eV per atom.

Cell lengths 12.298, 3.700, 11.509 Å; angles 90.00, 117.70, 90.00 degrees
Space group C2/m (No. 12)
One atom of each set of equivalent atoms:
Pm 0.184 0.000 0.091 (multiplicity 4)
Nd 0.018 0.000 0.743 (multiplicity 4)
Er 0.237 0.000 0.617 (multiplicity 4)
In 0.000 0.500 0.500 (multiplicity 2)

---

Crystalline Li8ZnSn2 at its relaxed geometry. Source: the Alexandria database, functional GGA-PBE.

The calculation puts the density of states at the Fermi level at 6.0 states/eV per cell. For the formation energy, the calculation gives -0.260 eV per atom.

Cell lengths 15.253, 4.741, 6.246 Å; angles 90.00, 114.11, 90.00 degrees
Space group C2/m (No. 12)
One atom of each set of equivalent atoms:
Li 0.000 0.000 0.232 (multiplicity 4)
Li 0.153 0.500 0.389 (multiplicity 4)
Li 0.153 0.500 0.918 (multiplicity 4)
Li 0.178 0.000 0.678 (multiplicity 4)
Zn 0.000 0.500 0.500 (multiplicity 2)
Sn 0.180 0.000 0.180 (multiplicity 4)

---

Crystalline AcMg2Ir at its relaxed geometry. Source: the Alexandria database, functional GGA-PBE.

The calculation puts the density of states at the Fermi level at 11.4 states/eV per cell. For the formation energy, the calculation gives -0.149 eV per atom.

Cell lengths 4.5275, 4.5275, 17.1824 Å; angles 90.00, 90.00, 120.00 degrees
Space group R-3m (No. 166, hexagonal axes)
One atom of each set of equivalent atoms:
Ac 0.0000 0.0000 0.0000 (multiplicity 3)
Mg 0.0000 0.0000 0.2028 (multiplicity 6)
Ir 0.0000 0.0000 0.5000 (multiplicity 3)